A geometry-optimized BaTcMo structure. Source: OQMD via LeMat-Bulk, functional PBE-GGA.

Cell: 4.6823 4.6823 4.6823 Å, 60.00 60.00 60.00°
Last column: nearest neighbours and their distance in Å.
Atoms (fractional coordinates):
1 Mo 0.7500 0.7500 0.7500  4 Tc 2.87
2 Tc 0.0000 0.0000 0.0000  4 Ba 2.87, 4 Mo 2.87
3 Ba 0.2500 0.2500 0.2500  4 Tc 2.87

Results
Polymorph energy (0 for the lowest one)   0.0 meV per atom